This record from Alexandria via LeMat-Bulk describes a geometry-optimized SrW3S structure. The functional is GGA-PBE.

Lattice parameters (Å, degrees): 4.864 4.864 4.864 90.00 90.00 90.00
Space group Pm-3m (No. 221)
Asymmetric unit:
Sr 0.000 0.000 0.000
W 0.000 0.000 0.500
S 0.500 0.500 0.500

Results
Relative energy among the computed polymorphs ... 2979 meV per atom
Calculated total energy ... -0.182 Ha/atom
Density ... 9.7 g cm⁻³
ΔE_f (raw) ... 3.973 eV per atom